# Nd2ZnSi4Au3 | Alexandria | PBE | optimized geometry
# E_form (uncorrected)   -0.539 eV/atom
# Space-group type   No. 115
# DFT total energy   -4.772 eV/atom
# V   193 Å³/cell
data_Nd2ZnSi4Au3
_symmetry_space_group_name_H-M 'P 1'
_symmetry_Int_Tables_number 1
_cell_length_a 4.3158
_cell_length_b 4.3158
_cell_length_c 10.3568
_cell_angle_alpha 90.00
_cell_angle_beta 90.00
_cell_angle_gamma 90.00
loop_
_symmetry_equiv_pos_as_xyz
'x,y,z'
loop_
_atom_site_label
_atom_site_type_symbol
_atom_site_fract_x
_atom_site_fract_y
_atom_site_fract_z
Zn1 Zn 0.5000 0.5000 0.5000
Nd1 Nd 0.5000 0.0000 0.2532
Nd2 Nd 0.0000 0.5000 0.7468
Au1 Au 0.0000 0.5000 0.1295
Au2 Au 0.0000 0.0000 0.5000
Au3 Au 0.5000 0.0000 0.8705
Si1 Si 0.0000 0.5000 0.3672
Si2 Si 0.0000 0.0000 0.0000
Si3 Si 0.5000 0.5000 0.0000
Si4 Si 0.5000 0.0000 0.6328



# DyMg6Sc2 | Alexandria | PBE | optimized geometry
# Space-group type   No. 189
# ΔE to the lowest computed polymorph   0.1097 eV/atom
# DFT total energy   -2.902 eV/atom
# V   219 Å³/cell
data_DyMg6Sc2
_symmetry_space_group_name_H-M 'P 1'
_symmetry_Int_Tables_number 1
_cell_length_a 3.0903
_cell_length_b 9.0507
_cell_length_c 9.0507
_cell_angle_alpha 120.00
_cell_angle_beta 90.00
_cell_angle_gamma 90.00
loop_
_symmetry_equiv_pos_as_xyz
'x,y,z'
loop_
_atom_site_label
_atom_site_type_symbol
_atom_site_fract_x
_atom_site_fract_y
_atom_site_fract_z
Mg1 Mg 0.0000 0.6799 0.0000
Mg2 Mg 0.5000 0.3635 0.0000
Mg3 Mg 0.5000 0.6365 0.6365
Mg4 Mg 0.0000 0.3201 0.3201
Mg5 Mg 0.0000 0.0000 0.6799
Mg6 Mg 0.5000 0.0000 0.3635
Sc1 Sc 0.0000 0.3333 0.6667
Sc2 Sc 0.0000 0.6667 0.3333
Dy1 Dy 0.5000 0.0000 0.0000



# Rb3SmNp2O9 | Alexandria | PBE | optimized geometry
# E_form (uncorrected)   -2.672 eV/atom
# Space-group type   No. 164
# DFT total energy   -7.880 eV/atom
# V   250 Å³/cell
data_Rb3SmNp2O9
_symmetry_space_group_name_H-M 'P 1'
_symmetry_Int_Tables_number 1
_cell_length_a 6.1774
_cell_length_b 6.1774
_cell_length_c 7.5687
_cell_angle_alpha 90.00
_cell_angle_beta 90.00
_cell_angle_gamma 120.00
loop_
_symmetry_equiv_pos_as_xyz
'x,y,z'
loop_
_atom_site_label
_atom_site_type_symbol
_atom_site_fract_x
_atom_site_fract_y
_atom_site_fract_z
O1 O 0.0000 0.5000 0.0000
O2 O 0.5000 0.0000 0.0000
O3 O 0.1780 0.8220 0.3176
O4 O 0.8220 0.1780 0.6824
O5 O 0.5000 0.5000 0.0000
O6 O 0.3560 0.1780 0.6824
O7 O 0.1780 0.3560 0.3176
O8 O 0.8220 0.6440 0.6824
O9 O 0.6440 0.8220 0.3176
Rb1 Rb 0.0000 0.0000 0.0000
Rb2 Rb 0.6667 0.3333 0.3364
Rb3 Rb 0.3333 0.6667 0.6636
Sm1 Sm 0.0000 0.0000 0.5000
Np1 Np 0.6667 0.3333 0.8368
Np2 Np 0.3333 0.6667 0.1632



# Pu2AlSi3 | Alexandria | PBE | optimized geometry
# E_form (uncorrected)   -0.436 eV/atom
# Space-group type   No. 44
# DFT total energy   -8.549 eV/atom
# V   116 Å³/cell
data_Pu2AlSi3
_symmetry_space_group_name_H-M 'P 1'
_symmetry_Int_Tables_number 1
_cell_length_a 3.8723
_cell_length_b 4.1580
_cell_length_c 7.7567
_cell_angle_alpha 105.55
_cell_angle_beta 104.45
_cell_angle_gamma 90.00
loop_
_symmetry_equiv_pos_as_xyz
'x,y,z'
loop_
_atom_site_label
_atom_site_type_symbol
_atom_site_fract_x
_atom_site_fract_y
_atom_site_fract_z
Si1 Si 0.7045 0.7045 0.4091
Si2 Si 0.2934 0.7934 0.5867
Si3 Si 0.5427 0.5427 0.0854
Pu1 Pu 0.1318 0.1318 0.2636
Pu2 Pu 0.8671 0.3671 0.7342
Al1 Al 0.4605 0.9605 0.9210



# YLuTe3 | Alexandria | PBE | optimized geometry
# E_form (uncorrected)   -1.080 eV/atom
# Space-group type   No. 167
# ΔE to the lowest computed polymorph   0.3105 eV/atom
# DFT total energy   -5.162 eV/atom
# V   361 Å³/cell
data_YLuTe3
_symmetry_space_group_name_H-M 'P 1'
_symmetry_Int_Tables_number 1
_cell_length_a 7.9479
_cell_length_b 7.9479
_cell_length_c 7.9479
_cell_angle_alpha 60.72
_cell_angle_beta 60.72
_cell_angle_gamma 60.72
loop_
_symmetry_equiv_pos_as_xyz
'x,y,z'
loop_
_atom_site_label
_atom_site_type_symbol
_atom_site_fract_x
_atom_site_fract_y
_atom_site_fract_z
Te1 Te 0.1120 0.3880 0.7500
Te2 Te 0.8880 0.6120 0.2500
Te3 Te 0.7500 0.1120 0.3880
Te4 Te 0.2500 0.8880 0.6120
Te5 Te 0.6120 0.2500 0.8880
Te6 Te 0.3880 0.7500 0.1120
Y1 Y 0.0000 0.0000 0.0000
Y2 Y 0.5000 0.5000 0.5000
Lu1 Lu 0.7500 0.7500 0.7500
Lu2 Lu 0.2500 0.2500 0.2500



# LiN2Cl | Alexandria | PBE | optimized geometry
# E_form (uncorrected)   2.077 eV/atom
# Space-group type   No. 225
# ΔE to the lowest computed polymorph   2.9464 eV/atom
# DFT total energy   -3.025 eV/atom
# V   43 Å³/cell
data_LiN2Cl
_symmetry_space_group_name_H-M 'P 1'
_symmetry_Int_Tables_number 1
_cell_length_a 3.9176
_cell_length_b 3.9176
_cell_length_c 3.9176
_cell_angle_alpha 60.00
_cell_angle_beta 60.00
_cell_angle_gamma 60.00
loop_
_symmetry_equiv_pos_as_xyz
'x,y,z'
loop_
_atom_site_label
_atom_site_type_symbol
_atom_site_fract_x
_atom_site_fract_y
_atom_site_fract_z
Cl1 Cl 0.5000 0.5000 0.5000
N1 N 0.2500 0.2500 0.2500
N2 N 0.7500 0.7500 0.7500
Li1 Li 0.0000 0.0000 0.0000



# MgCdPb | Alexandria | PBE | optimized geometry
# Space-group type   No. 44
# DFT total energy   -2.082 eV/atom
# V   76 Å³/cell
data_MgCdPb
_symmetry_space_group_name_H-M 'P 1'
_symmetry_Int_Tables_number 1
_cell_length_a 5.7750
_cell_length_b 5.7750
_cell_length_c 5.7750
_cell_angle_alpha 144.99
_cell_angle_beta 135.79
_cell_angle_gamma 57.60
loop_
_symmetry_equiv_pos_as_xyz
'x,y,z'
loop_
_atom_site_label
_atom_site_type_symbol
_atom_site_fract_x
_atom_site_fract_y
_atom_site_fract_z
Mg1 Mg 0.3407 0.3407 0.0000
Cd1 Cd 0.9917 0.9917 0.0000
Pb1 Pb 0.6676 0.6676 0.0000



# Pu2Mn3Ge4 | Alexandria | PBE | optimized geometry
# Space-group type   No. 64
# DFT total energy   -8.515 eV/atom
# V   320 Å³/cell
data_Pu2Mn3Ge4
_symmetry_space_group_name_H-M 'P 1'
_symmetry_Int_Tables_number 1
_cell_length_a 5.7401
_cell_length_b 7.5193
_cell_length_c 7.9595
_cell_angle_alpha 90.00
_cell_angle_beta 111.14
_cell_angle_gamma 90.00
loop_
_symmetry_equiv_pos_as_xyz
'x,y,z'
loop_
_atom_site_label
_atom_site_type_symbol
_atom_site_fract_x
_atom_site_fract_y
_atom_site_fract_z
Mn1 Mn 0.0337 0.7500 0.5674
Mn2 Mn 0.5337 0.7500 0.5674
Mn3 Mn 0.0000 0.0000 0.0000
Mn4 Mn 0.4663 0.2500 0.4326
Mn5 Mn 0.9663 0.2500 0.4326
Mn6 Mn 0.5000 0.5000 0.0000
Ge1 Ge 0.8145 0.0382 0.6291
Ge2 Ge 0.1855 0.9618 0.3709
Ge3 Ge 0.6855 0.5382 0.3709
Ge4 Ge 0.3145 0.4618 0.6291
Ge5 Ge 0.7004 0.7500 0.9008
Ge6 Ge 0.2004 0.7500 0.9008
Ge7 Ge 0.7996 0.2500 0.0992
Ge8 Ge 0.2996 0.2500 0.0992
Pu1 Pu 0.6094 0.9095 0.2187
Pu2 Pu 0.3906 0.0905 0.7813
Pu3 Pu 0.1094 0.5905 0.2187
Pu4 Pu 0.8906 0.4095 0.7813



# Th2Zn6Ni3 | Alexandria | PBE | optimized geometry
# Space-group type   No. 189
# DFT total energy   -3.914 eV/atom
# V   191 Å³/cell
data_Th2Zn6Ni3
_symmetry_space_group_name_H-M 'P 1'
_symmetry_Int_Tables_number 1
_cell_length_a 3.8606
_cell_length_b 7.5567
_cell_length_c 7.5567
_cell_angle_alpha 120.00
_cell_angle_beta 90.00
_cell_angle_gamma 90.00
loop_
_symmetry_equiv_pos_as_xyz
'x,y,z'
loop_
_atom_site_label
_atom_site_type_symbol
_atom_site_fract_x
_atom_site_fract_y
_atom_site_fract_z
Zn1 Zn 0.0000 0.1952 0.1952
Zn2 Zn 0.5000 0.7205 0.7205
Zn3 Zn 0.5000 0.2795 0.0000
Zn4 Zn 0.5000 0.0000 0.2795
Zn5 Zn 0.0000 0.0000 0.8048
Zn6 Zn 0.0000 0.8048 0.0000
Ni1 Ni 0.5000 0.3944 0.3944
Ni2 Ni 0.5000 0.0000 0.6056
Ni3 Ni 0.5000 0.6056 0.0000
Th1 Th 0.0000 0.3333 0.6667
Th2 Th 0.0000 0.6667 0.3333



# TaSeO2 | Alexandria | PBE | optimized geometry
# E_form (uncorrected)   -1.516 eV/atom
# Space-group type   No. 166
# DFT total energy   -7.830 eV/atom
# V   67 Å³/cell
data_TaSeO2
_symmetry_space_group_name_H-M 'P 1'
_symmetry_Int_Tables_number 1
_cell_length_a 8.8869
_cell_length_b 8.8869
_cell_length_c 8.8869
_cell_angle_alpha 19.23
_cell_angle_beta 19.23
_cell_angle_gamma 19.23
loop_
_symmetry_equiv_pos_as_xyz
'x,y,z'
loop_
_atom_site_label
_atom_site_type_symbol
_atom_site_fract_x
_atom_site_fract_y
_atom_site_fract_z
Se1 Se 0.0000 0.0000 0.0000
O1 O 0.1225 0.1225 0.1225
O2 O 0.8775 0.8775 0.8775
Ta1 Ta 0.5000 0.5000 0.5000



# BaCa2Mg | Alexandria | PBE | optimized geometry
# Space-group type   No. 216
# DFT total energy   -1.865 eV/atom
# V   162 Å³/cell
data_BaCa2Mg
_symmetry_space_group_name_H-M 'P 1'
_symmetry_Int_Tables_number 1
_cell_length_a 6.1145
_cell_length_b 6.1146
_cell_length_c 6.1153
_cell_angle_alpha 119.99
_cell_angle_beta 119.99
_cell_angle_gamma 90.01
loop_
_symmetry_equiv_pos_as_xyz
'x,y,z'
loop_
_atom_site_label
_atom_site_type_symbol
_atom_site_fract_x
_atom_site_fract_y
_atom_site_fract_z
Ca1 Ca 0.0000 0.0000 0.0000
Ca2 Ca 0.2500 0.7500 0.5000
Mg1 Mg 0.4999 0.5001 0.0000
Ba1 Ba 0.7500 0.2500 0.5000



# CaGaTc2H | Alexandria | PBE | optimized geometry
# Space-group type   No. 123
# DFT total energy   -3.277 eV/atom
# V   135 Å³/cell
data_CaGaTc2H
_symmetry_space_group_name_H-M 'P 1'
_symmetry_Int_Tables_number 1
_cell_length_a 4.9573
_cell_length_b 5.4961
_cell_length_c 4.9573
_cell_angle_alpha 90.00
_cell_angle_beta 90.00
_cell_angle_gamma 90.00
loop_
_symmetry_equiv_pos_as_xyz
'x,y,z'
loop_
_atom_site_label
_atom_site_type_symbol
_atom_site_fract_x
_atom_site_fract_y
_atom_site_fract_z
H1 H 0.5000 0.5000 0.5000
Tc1 Tc 0.0000 0.0000 0.5000
Tc2 Tc 0.5000 0.0000 0.0000
Ca1 Ca 0.0000 0.0000 0.0000
Ga1 Ga 0.0000 0.5000 0.0000